DFT (PBE+U) results for BaTmCo4O7 after structural relaxation.

energy	-6.5264	eV/atom
crystal system	monoclinic
calculated density	6.0	g/cm³

Lattice parameters (Å, degrees): 6.3800 11.0033 10.2692 90.00 90.11 90.00
Space group Cc (No. 9)
Unique sites:
Ba1 0.0000 0.1539 0.0000 x4
Tm1 0.4979 0.3319 0.8690 x4
Co1 0.2505 0.0873 0.6869 x4
Co2 0.2560 0.4163 0.1907 x4
Co3 0.4902 0.0009 0.9466 x4
Co4 0.4978 0.1712 0.1892 x4
O1 0.0008 0.4991 0.7576 x4
O2 0.0069 0.0021 0.2483 x4
O3 0.2370 0.0717 0.4958 x4
O4 0.2407 0.4258 0.9950 x4
O5 0.2683 0.2579 0.2757 x4
O6 0.2757 0.2600 0.7230 x4
O7 0.4471 0.1653 0.9975 x4